<i>
## TbYPdPt (PBE)

Data for an optimized crystal structure of TbYPdPt.

Cell lengths 4.9686, 4.9686, 4.9686 Å; angles 60.00, 60.00, 60.00 degrees
Positions (direct):
Tb (0.0000, 0.0000, 0.0000)
Y (0.5000, 0.5000, 0.5000)
Pd (0.2500, 0.2500, 0.2500)
Pt (0.7500, 0.7500, 0.7500)

Output
Crystal system: cubic
Space-group type: F-43m (216)

<ii>
## TbYPdPt (PBE)

Data for an optimized crystal structure of TbYPdPt.

Cell lengths 3.7917, 4.5063, 5.6141 Å; angles 90.00, 109.74, 90.00 degrees
Positions (direct):
Y (0.8621, 0.5000, 0.7242)
Pt (0.4136, 0.0000, 0.8273)
Tb (0.1377, 0.0000, 0.2753)
Pd (0.5866, 0.5000, 0.1732)

Output
Crystal system: orthorhombic
Space-group type: Amm2 (38)

The least stable of them is <i>.

<i>
## TcPdPt (PBE)

Data for an optimized crystal structure of TcPdPt.

Cell lengths 3.7230, 3.7230, 4.4442 Å; angles 90.00, 90.00, 120.00 degrees
Positions (direct):
Pd (0.0000, 0.0000, 0.0221)
Tc (0.6667, 0.3333, 0.3483)
Pt (0.3333, 0.6667, 0.6296)

Output
Crystal system: trigonal
Space-group type: P3m1 (156)

<ii>
## TcPdPt (PBE)

Data for an optimized crystal structure of TcPdPt.

Cell lengths 3.9825, 3.9057, 6.1809 Å; angles 90.00, 108.79, 90.00 degrees
Positions (direct):
Pt (0.0782, 0.2500, 0.1564)
Pd (0.2475, 0.7500, 0.4950)
Pd (0.7525, 0.2500, 0.5050)
Pt (0.9218, 0.7500, 0.8436)
Tc (0.5738, 0.7500, 0.1476)
Tc (0.4262, 0.2500, 0.8524)

Output
Crystal system: orthorhombic
Space-group type: Cmcm (63)

The least stable of them is <i>.

<i>
## Tc2PdPt (PBE)

Data for an optimized crystal structure of Tc2PdPt.

Cell lengths 5.6125, 5.6125, 6.8590 Å; angles 65.85, 65.85, 90.00 degrees
Positions (direct):
Pt (0.0000, 0.0000, 0.0000)
Pd (0.5000, 0.5000, 0.0000)
Tc (0.6271, 0.1250, 0.2500)
Tc (0.8750, 0.8771, 0.7500)
Pd (0.2500, 0.7500, 0.5000)
Tc (0.3750, 0.3729, 0.7500)
Tc (0.1229, 0.6250, 0.2500)
Pt (0.7500, 0.2500, 0.5000)

Output
Crystal system: tetragonal
Space-group type: I-42d (122)

<ii>
## Tc2PdPt (PBE)

Data for an optimized crystal structure of Tc2PdPt.

Cell lengths 4.4199, 4.4199, 4.4199 Å; angles 60.00, 60.00, 60.00 degrees
Positions (direct):
Pd (0.0000, 0.0000, 0.0000)
Pt (0.5000, 0.5000, 0.5000)
Tc (0.7500, 0.7500, 0.7500)
Tc (0.2500, 0.2500, 0.2500)

Output
Crystal system: cubic
Space-group type: Fm-3m (225)

The least stable of them is <i>.

<i>
## Te6PdPt2 (PBE)

Data for an optimized crystal structure of Te6PdPt2.

Cell lengths 6.2426, 6.2426, 12.7660 Å; angles 90.00, 90.00, 90.00 degrees
Positions (direct):
Pt (0.5000, 0.5000, 0.3342)
Te (0.6919, 0.6919, 0.1668)
Te (0.8081, 0.1919, 0.3332)
Te (0.3078, 0.3078, 0.5000)
Pt (0.0000, 0.0000, 0.1658)
Te (0.8078, 0.1922, 0.0000)
Te (0.3081, 0.3081, 0.1668)
Te (0.8081, 0.1919, 0.6668)
Te (0.3081, 0.3081, 0.8332)
Te (0.6922, 0.6922, 0.5000)
Te (0.6919, 0.6919, 0.8332)
Pt (0.5000, 0.5000, 0.6658)
Te (0.1919, 0.8081, 0.3332)
Te (0.1919, 0.8081, 0.6668)
Pd (0.5000, 0.5000, 0.0000)
Pt (0.0000, 0.0000, 0.8342)
Te (0.1922, 0.8078, 0.0000)
Pd (0.0000, 0.0000, 0.5000)

Output
Crystal system: tetragonal
Space-group type: P4_2/mnm (136)

<ii>
## Te6PdPt2 (PBE)

Data for an optimized crystal structure of Te6PdPt2.

Cell lengths 5.2923, 7.0837, 7.0837 Å; angles 120.00, 90.00, 90.00 degrees
Positions (direct):
Te (0.7587, 0.0000, 0.3360)
Te (0.2413, 0.3360, 0.3360)
Te (0.2413, 0.6640, 0.0000)
Pt (0.5000, 0.6667, 0.3333)
Te (0.7587, 0.3360, 0.0000)
Pt (0.5000, 0.3333, 0.6667)
Pd (0.5000, 0.0000, 0.0000)
Te (0.2413, 0.0000, 0.6640)
Te (0.7587, 0.6640, 0.6640)

Output
Crystal system: trigonal
Space-group type: P-31m (162)

The least stable of them is <i>.

<i>
## Te2PdPt (PBE)

Data for an optimized crystal structure of Te2PdPt.

Cell lengths 4.0477, 4.0477, 6.8366 Å; angles 72.78, 72.78, 60.00 degrees
Positions (direct):
Te (0.2547, 0.2547, 0.2358)
Pd (0.5096, 0.5096, 0.4713)
Te (0.0732, 0.0732, 0.7805)
Pt (0.6626, 0.6626, 0.0123)

Output
Crystal system: trigonal
Space-group type: R3m (160)

<ii>
## Te2PdPt (PBE)

Data for an optimized crystal structure of Te2PdPt.

Cell lengths 6.0599, 6.0599, 7.3628 Å; angles 65.70, 65.70, 90.00 degrees
Positions (direct):
Te (0.1215, 0.6250, 0.2500)
Te (0.8750, 0.8785, 0.7500)
Pd (0.5000, 0.5000, 0.0000)
Pd (0.2500, 0.7500, 0.5000)
Pt (0.7500, 0.2500, 0.5000)
Te (0.6285, 0.1250, 0.2500)
Pt (0.0000, 0.0000, 0.0000)
Te (0.3750, 0.3715, 0.7500)

Output
Crystal system: tetragonal
Space-group type: I-42d (122)

<iii>
## Te2PdPt (PBE)

Data for an optimized crystal structure of Te2PdPt.

Cell lengths 8.2720, 8.2720, 8.2720 Å; angles 27.89, 27.89, 27.89 degrees
Positions (direct):
Te (0.1071, 0.1071, 0.1071)
Pd (0.0000, 0.0000, 0.0000)
Te (0.8929, 0.8929, 0.8929)
Pt (0.5000, 0.5000, 0.5000)

Output
Crystal system: trigonal
Space-group type: R-3m (166)

The least stable of them is <iii>.

<i>
## ThPd4Pt (PBE)

Data for an optimized crystal structure of ThPd4Pt.

Cell lengths 4.6311, 7.9949, 7.4331 Å; angles 90.00, 51.09, 90.00 degrees
Positions (direct):
Pt (0.5000, 0.0000, 0.5000)
Pd (0.2351, 0.1669, 0.2639)
Pd (0.7649, 0.8331, 0.7361)
Pd (0.2649, 0.6669, 0.7361)
Pd (0.2351, 0.8331, 0.2639)
Pd (0.7351, 0.3331, 0.2639)
Th (0.5000, 0.5000, 0.0000)
Pt (0.0000, 0.5000, 0.5000)
Pd (0.7649, 0.1669, 0.7361)
Pd (0.2649, 0.3331, 0.7361)
Pd (0.7351, 0.6669, 0.2639)
Th (0.0000, 0.0000, 0.0000)

Output
Crystal system: monoclinic
Space-group type: C2/m (12)

<ii>
## ThPd4Pt (PBE)

Data for an optimized crystal structure of ThPd4Pt.

Cell lengths 5.3495, 5.3495, 5.3495 Å; angles 60.00, 60.00, 60.00 degrees
Positions (direct):
Pd (0.6244, 0.6244, 0.1268)
Pt (0.2500, 0.2500, 0.2500)
Th (0.0000, 0.0000, 0.0000)
Pd (0.6244, 0.1268, 0.6244)
Pd (0.6244, 0.6244, 0.6244)
Pd (0.1268, 0.6244, 0.6244)

Output
Crystal system: cubic
Space-group type: F-43m (216)

The least stable of them is <ii>.